Material: CsNdSiS4
Method: DFT, PBE-GGA
State: optimized geometry

Results
The calculation puts the total energy at -5.388 eV/atom. The value obtained for the uncorrected formation energy is -1.45 eV per atom.

abc: 6.5502 6.7597 9.5408
angles: 90.00 108.07 90.00
Space group P2_1/m (No. 11)
One atom of each set of equivalent atoms:
Cs: 0.2256 0.2500 0.4347 [2 per cell]
Nd: 0.2714 0.2500 0.9542 [2 per cell]
Si: 0.2861 0.7500 0.1658 [2 per cell]
S: 0.0936 0.7500 0.3073 [2 per cell]
S: 0.0941 0.7500 0.9401 [2 per cell]
S: 0.4992 0.0022 0.7989 [4 per cell]

Material: Ce3GaP2Rh8
Method: DFT, PBE-GGA
State: optimized geometry

Results
The formation energy comes out at -753.9 meV per atom. The calculation puts the total energy at -7.215 eV/atom.

abc: 5.4539 5.4539 9.2957
angles: 90.00 90.00 120.00
Space group P-3m1 (No. 164)
One atom of each set of equivalent atoms:
Ce: 0.0000 0.0000 0.0000 [1 per cell]
Ce: 0.3333 0.6667 0.5649 [2 per cell]
Ga: 0.0000 0.0000 0.5000 [1 per cell]
P: 0.3333 0.6667 0.0936 [2 per cell]
Rh: 0.1656 0.3311 0.2743 [6 per cell]
Rh: 0.3333 0.6667 0.8486 [2 per cell]

Material: B2C3
Method: DFT, PBE-GGA
State: optimized geometry

Results
The formation energy comes out at 339.2 meV per atom. For the energy above the lowest structure with this stoichiometry, the calculation gives 50 kJ/mol of formula units. The calculation puts the total energy at -7.866 eV/atom.

abc: 8.3771 2.4949 6.3444
angles: 90.00 108.38 90.00
Space group Cm (No. 8)
One atom of each set of equivalent atoms:
B: 0.0000 0.0000 0.0000 [2 per cell]
B: 0.0218 0.0000 0.2920 [2 per cell]
B: 0.1687 0.5000 0.4361 [2 per cell]
B: 0.3082 0.5000 0.1753 [2 per cell]
C: 0.1391 0.5000 0.6720 [2 per cell]
C: 0.1999 0.0000 0.0381 [2 per cell]
C: 0.2197 0.0000 0.8059 [2 per cell]
C: 0.3743 0.5000 0.4666 [2 per cell]
C: 0.4041 0.0000 0.8308 [2 per cell]
C: 0.4466 0.0000 0.6122 [2 per cell]

> total energy of number 1 (CsNdSiS4)?

-5.388 eV/atom

> total energy of number 3 (B2C3)?

-7.866 eV/atom